# TaTlHgMo2

Crystalline TaTlHgMo2 at its relaxed geometry (GGA-PBE, Alexandria).

Summary:
- Formation enthalpy at 0 K: 1.53 eV/atom
- Space group: P4/mmm (123)
- Raw total energy: -5.706 eV/atom
- DOS(E_F): 5.52 states/eV/cell
- Spin magnetization: 3.14 μB/cell

Cell and atoms, written as POSCAR:
```
TaTlHgMo2
1.0
4.8743 0.0000 0.0000
0.0000 4.8743 0.0000
0.0000 0.0000 5.4628
Ta Tl Hg Mo
1 1 1 2
Direct
0.0000 0.0000 0.0000
0.5000 0.5000 0.5000
0.0000 0.0000 0.5000
0.0000 0.5000 0.0000
0.5000 0.0000 0.0000
```



# Zr2TaHgMo

Crystalline Zr2TaHgMo at its relaxed geometry (GGA-PBE, Alexandria).

Summary:
- Formation enthalpy at 0 K: 1.84 eV/atom
- Space group: P4/mmm (123)
- Raw total energy: -6.176 eV/atom
- DOS(E_F): 10.80 states/eV/cell
- Spin magnetization: 0.00 μB/cell

Cell and atoms, written as POSCAR:
```
Zr2TaHgMo
1.0
5.1286 0.0000 0.0000
0.0000 5.1286 0.0000
0.0000 0.0000 4.9320
Zr Ta Hg Mo
2 1 1 1
Direct
0.0000 0.5000 0.0000
0.5000 0.0000 0.0000
0.0000 0.0000 0.5000
0.5000 0.5000 0.0000
0.5000 0.5000 0.5000
```



# TcHg2Mo

Crystalline TcHg2Mo at its relaxed geometry (GGA-PBE, Alexandria).

Summary:
- Formation enthalpy at 0 K: 0.54 eV/atom
- Space group: Imm2 (44)
- Raw total energy: -4.910 eV/atom
- DOS(E_F): 2.78 states/eV/cell
- Relative energy among the computed polymorphs: 0.229 eV per atom
- Spin magnetization: 0.00 μB/cell

Cell and atoms, written as POSCAR:
```
TcHg2Mo
1.0
-1.5942 2.4572 4.7733
1.5942 -2.4572 4.7733
1.5942 2.4572 -4.7733
Tc Hg Mo
1 2 1
Direct
0.0000 0.0000 0.0000
0.2662 0.7662 0.5000
0.5404 0.5404 0.0000
0.8092 0.3092 0.5000
```